# 1
Here is crystalline NaMgHgPt2 at its relaxed geometry from Alexandria. Energies are from GGA-PBE.

VASP energy (eV per atom): -2.575
Crystal system: tetragonal
Total magnetic moment (μB/atom): 0.000
Energy of formation (eV/atom): 0.484
Space group: P4/mmm, No. 123

Cell lengths 5.167, 4.985, 5.167 Å; angles 90.00, 90.00, 90.00 degrees
Fractional coordinates of all 5 atoms:
Na: 0.500 0.500 0.500
Mg: 0.000 0.500 0.000
Hg: 0.000 0.000 0.000
Pt: 0.000 0.000 0.500
Pt: 0.500 0.000 0.000

---

# 2
Here is crystalline NaMgHgPt at its relaxed geometry from Alexandria. Energies are from GGA-PBE.

VASP energy (eV per atom): -2.627
Crystal system: cubic
Total magnetic moment (μB/atom): 0.000
Energy of formation (eV/atom): -0.313
Space group: F-43m, No. 216

Cell lengths 4.759, 4.759, 4.759 Å; angles 60.00, 60.00, 60.00 degrees
Fractional coordinates of all 4 atoms:
Na: 0.250 0.250 0.250
Mg: 0.000 0.000 0.000
Hg: 0.500 0.500 0.500
Pt: 0.750 0.750 0.750

---

# 3
Here is crystalline Rb2NaMgHg6 at its relaxed geometry from Alexandria. Energies are from GGA-PBE.

VASP energy (eV per atom): -0.767
Crystal system: cubic
Total magnetic moment (μB/atom): 0.000
Energy of formation (eV/atom): -0.101
Space group: Fm-3m, No. 225

Cell lengths 8.130, 8.130, 8.130 Å; angles 60.00, 60.00, 90.00 degrees
Fractional coordinates of all 10 atoms:
Rb: 0.250 0.750 0.500
Rb: 0.750 0.250 0.500
Na: 0.000 0.000 0.000
Mg: 0.500 0.500 0.000
Hg: 0.254 0.746 0.000
Hg: 0.746 0.746 0.000
Hg: 0.254 0.254 0.491
Hg: 0.746 0.254 0.000
Hg: 0.254 0.254 0.000
Hg: 0.746 0.746 0.509

---

# 4
Here is crystalline RbNaMg2Hg4 at its relaxed geometry from Alexandria. Energies are from GGA-PBE.

VASP energy (eV per atom): -1.016
Crystal system: trigonal
Total magnetic moment (μB/atom): 0.000
Energy of formation (eV/atom): -0.181
Space group: R-3m, No. 166

Cell lengths 5.023, 5.023, 11.109 Å; angles 76.93, 76.93, 60.00 degrees
Fractional coordinates of all 8 atoms:
Rb: 0.000 0.000 0.000
Na: 0.500 0.500 0.500
Mg: 0.773 0.773 0.681
Mg: 0.227 0.227 0.319
Hg: 0.405 0.405 0.784
Hg: 0.877 0.877 0.370
Hg: 0.123 0.123 0.630
Hg: 0.595 0.595 0.216

---

# 5
Here is crystalline Rb2NaMgHg2 at its relaxed geometry from Alexandria. Energies are from GGA-PBE.

VASP energy (eV per atom): -1.073
Crystal system: orthorhombic
Total magnetic moment (μB/atom): 0.000
Energy of formation (eV/atom): -0.164
Space group: Ibam, No. 72

Cell lengths 7.244, 7.320, 10.128 Å; angles 111.19, 110.95, 90.00 degrees
Fractional coordinates of all 12 atoms:
Rb: 0.412 0.176 0.352
Rb: 0.588 0.824 0.648
Rb: 0.060 0.324 0.648
Rb: 0.940 0.676 0.352
Na: 0.000 0.750 0.000
Na: 0.000 0.250 0.000
Mg: 0.500 0.750 0.000
Mg: 0.500 0.250 0.000
Hg: 0.818 0.097 0.194
Hg: 0.377 0.597 0.194
Hg: 0.623 0.403 0.806
Hg: 0.182 0.903 0.806

---

# 6
Here is crystalline RbNa2MgHg4 at its relaxed geometry from Alexandria. Energies are from GGA-PBE.

VASP energy (eV per atom): -0.997
Crystal system: trigonal
Total magnetic moment (μB/atom): 0.000
Energy of formation (eV/atom): -0.196
Space group: R-3m, No. 166

Cell lengths 5.144, 5.144, 10.923 Å; angles 76.38, 76.38, 60.00 degrees
Fractional coordinates of all 8 atoms:
Rb: 0.000 0.000 0.000
Na: 0.766 0.766 0.701
Na: 0.234 0.234 0.299
Mg: 0.500 0.500 0.500
Hg: 0.405 0.405 0.786
Hg: 0.865 0.865 0.404
Hg: 0.135 0.135 0.596
Hg: 0.595 0.595 0.214

---

# 7
Here is crystalline RbNaMgHg2 at its relaxed geometry from Alexandria. Energies are from GGA-PBE.

VASP energy (eV per atom): -0.936
Crystal system: tetragonal
Total magnetic moment (μB/atom): 0.000
Energy of formation (eV/atom): -0.039
Space group: P4/mmm, No. 123

Cell lengths 5.635, 5.635, 5.909 Å; angles 90.00, 90.00, 90.00 degrees
Fractional coordinates of all 5 atoms:
Na: 0.000 0.000 0.500
Mg: 0.000 0.000 0.000
Hg: 0.000 0.500 0.000
Hg: 0.500 0.000 0.000
Rb: 0.500 0.500 0.500

---

# 8
Here is crystalline NaMg2HgRu at its relaxed geometry from Alexandria. Energies are from GGA-PBE.

VASP energy (eV per atom): -2.087
Crystal system: tetragonal
Total magnetic moment (μB/atom): 0.341
Energy of formation (eV/atom): 0.730
Space group: P4/mmm, No. 123

Cell lengths 5.168, 5.262, 5.168 Å; angles 90.00, 90.00, 90.00 degrees
Fractional coordinates of all 5 atoms:
Ru: 0.000 0.500 0.000
Mg: 0.000 0.000 0.500
Mg: 0.500 0.000 0.000
Hg: 0.000 0.000 0.000
Na: 0.500 0.500 0.500

---

# 9
Here is crystalline NaMg2Sn2Hg2 at its relaxed geometry from Alexandria. Energies are from GGA-PBE.

VASP energy (eV per atom): -1.987
Crystal system: trigonal
Total magnetic moment (μB/atom): 0.000
Energy of formation (eV/atom): -0.113
Space group: R-3m, No. 166

Cell lengths 4.921, 4.921, 9.081 Å; angles 74.28, 74.28, 60.00 degrees
Fractional coordinates of all 7 atoms:
Na: 0.000 0.000 0.000
Mg: 0.138 0.138 0.585
Mg: 0.862 0.862 0.415
Sn: 0.739 0.739 0.782
Sn: 0.261 0.261 0.218
Hg: 0.562 0.562 0.314
Hg: 0.438 0.438 0.686

---

# 10
Here is crystalline NaMg2SnHg5 at its relaxed geometry from Alexandria. Energies are from GGA-PBE.

VASP energy (eV per atom): -1.219
Crystal system: orthorhombic
Total magnetic moment (μB/atom): 0.000
Energy of formation (eV/atom): -0.105
Space group: Cmc2_1, No. 36

Cell lengths 3.282, 8.489, 16.650 Å; angles 90.00, 90.00, 101.15 degrees
Fractional coordinates of all 18 atoms:
Na: 0.577 0.153 0.945
Na: 0.423 0.847 0.445
Mg: 0.924 0.847 0.823
Mg: 0.160 0.320 0.645
Mg: 0.076 0.153 0.323
Mg: 0.840 0.680 0.145
Sn: 0.781 0.562 0.546
Sn: 0.219 0.438 0.046
Hg: 0.385 0.770 0.968
Hg: 0.732 0.464 0.838
Hg: 0.562 0.124 0.759
Hg: 0.342 0.685 0.702
Hg: 0.985 0.970 0.598
Hg: 0.615 0.230 0.468
Hg: 0.268 0.536 0.338
Hg: 0.438 0.876 0.259
Hg: 0.658 0.315 0.202
Hg: 0.015 0.030 0.098

---

# 11
Here is crystalline NaSrMg2Hg4 at its relaxed geometry from Alexandria. Energies are from GGA-PBE.

VASP energy (eV per atom): -1.233
Crystal system: trigonal
Total magnetic moment (μB/atom): 0.000
Energy of formation (eV/atom): -0.309
Space group: R-3m, No. 166

Cell lengths 5.019, 5.019, 9.765 Å; angles 75.11, 75.11, 60.00 degrees
Fractional coordinates of all 8 atoms:
Na: 0.500 0.500 0.500
Sr: 0.000 0.000 0.000
Mg: 0.761 0.761 0.716
Mg: 0.239 0.239 0.284
Hg: 0.390 0.390 0.829
Hg: 0.873 0.873 0.380
Hg: 0.127 0.127 0.620
Hg: 0.610 0.610 0.171

---

# 12
Here is crystalline NaSr2MgHg at its relaxed geometry from Alexandria. Energies are from GGA-PBE.

VASP energy (eV per atom): -1.400
Crystal system: tetragonal
Total magnetic moment (μB/atom): 0.000
Energy of formation (eV/atom): -0.084
Space group: P4/mmm, No. 123

Cell lengths 6.331, 6.331, 5.345 Å; angles 90.00, 90.00, 90.00 degrees
Fractional coordinates of all 5 atoms:
Sr: 0.000 0.500 0.000
Sr: 0.500 0.000 0.000
Mg: 0.000 0.000 0.500
Hg: 0.000 0.000 0.000
Na: 0.500 0.500 0.500

---

# 13
Here is crystalline NaMgTa2Hg at its relaxed geometry from Alexandria. Energies are from GGA-PBE.

VASP energy (eV per atom): -3.446
Crystal system: tetragonal
Total magnetic moment (μB/atom): 0.000
Energy of formation (eV/atom): 1.938
Space group: P4/mmm, No. 123

Cell lengths 4.811, 4.723, 4.811 Å; angles 90.00, 90.00, 90.00 degrees
Fractional coordinates of all 5 atoms:
Na: 0.000 0.000 0.000
Mg: 0.000 0.500 0.000
Hg: 0.500 0.500 0.500
Ta: 0.000 0.000 0.500
Ta: 0.500 0.000 0.000

---

# 14
Here is crystalline NaTbMgHg at its relaxed geometry from Alexandria. Energies are from GGA-PBE.

VASP energy (eV per atom): -2.120
Crystal system: cubic
Total magnetic moment (μB/atom): 0.000
Energy of formation (eV/atom): -0.158
Space group: F-43m, No. 216

Cell lengths 5.127, 5.127, 5.127 Å; angles 60.00, 60.00, 60.00 degrees
Fractional coordinates of all 4 atoms:
Na: 0.250 0.250 0.250
Mg: 0.000 0.000 0.000
Tb: 0.500 0.500 0.500
Hg: 0.750 0.750 0.750

---

# 15
Here is crystalline NaMgTlHg at its relaxed geometry from Alexandria. Energies are from GGA-PBE.

Energy above the lowest structure with this stoichiometry (meV per atom): 0
VASP energy (eV per atom): -1.550
Crystal system: tetragonal
Total magnetic moment (μB/atom): 0.000
Energy of formation (eV/atom): -0.154
Space group: P4mm, No. 99

Cell lengths 3.475, 3.475, 8.300 Å; angles 90.00, 90.00, 90.00 degrees
Fractional coordinates of all 4 atoms:
Na: 0.000 0.000 0.090
Mg: 0.000 0.000 0.548
Tl: 0.500 0.500 0.808
Hg: 0.500 0.500 0.338

---

# 16
Here is crystalline NaMg2Tl3Hg3 at its relaxed geometry from Alexandria. Energies are from GGA-PBE.

VASP energy (eV per atom): -1.429
Crystal system: hexagonal
Total magnetic moment (μB/atom): 0.000
Energy of formation (eV/atom): -0.039
Space group: P-62m, No. 189

Cell lengths 3.396, 8.909, 8.909 Å; angles 120.00, 90.00, 90.00 degrees
Fractional coordinates of all 9 atoms:
Na: 0.000 0.000 0.000
Mg: 0.500 0.667 0.333
Mg: 0.500 0.333 0.667
Tl: 0.500 0.701 0.000
Tl: 0.500 0.000 0.701
Tl: 0.500 0.299 0.299
Hg: 0.000 0.614 0.614
Hg: 0.000 0.000 0.386
Hg: 0.000 0.386 0.000

---

# 17
Here is crystalline NaMg2Tl2Hg5 at its relaxed geometry from Alexandria. Energies are from GGA-PBE.

VASP energy (eV per atom): -1.178
Crystal system: tetragonal
Total magnetic moment (μB/atom): 0.000
Energy of formation (eV/atom): -0.104
Space group: P4/mbm, No. 127

Cell lengths 4.548, 10.662, 10.662 Å; angles 90.00, 90.00, 90.00 degrees
Fractional coordinates of all 20 atoms:
Na: 0.000 0.000 0.000
Na: 0.000 0.500 0.500
Mg: 0.000 0.123 0.623
Mg: 0.000 0.877 0.377
Mg: 0.000 0.623 0.877
Mg: 0.000 0.377 0.123
Tl: 0.000 0.675 0.175
Tl: 0.000 0.325 0.825
Tl: 0.000 0.175 0.325
Tl: 0.000 0.825 0.675
Hg: 0.500 0.197 0.073
Hg: 0.500 0.803 0.927
Hg: 0.500 0.073 0.803
Hg: 0.500 0.697 0.427
Hg: 0.500 0.927 0.197
Hg: 0.500 0.303 0.573
Hg: 0.500 0.573 0.697
Hg: 0.500 0.427 0.303
Hg: 0.500 0.500 0.000
Hg: 0.500 0.000 0.500

---

# 18
Here is crystalline NaMgTlHg at its relaxed geometry from Alexandria. Energies are from GGA-PBE.

Energy above the lowest structure with this stoichiometry (meV per atom): 22
VASP energy (eV per atom): -1.528
Crystal system: cubic
Total magnetic moment (μB/atom): 0.000
Energy of formation (eV/atom): -0.133
Space group: F-43m, No. 216

Cell lengths 5.166, 5.166, 5.166 Å; angles 60.00, 60.00, 60.00 degrees
Fractional coordinates of all 4 atoms:
Mg: 0.500 0.500 0.500
Na: 0.000 0.000 0.000
Tl: 0.250 0.250 0.250
Hg: 0.750 0.750 0.750

---

# 19
Here is crystalline Na2MgTl2Hg5 at its relaxed geometry from Alexandria. Energies are from GGA-PBE.

VASP energy (eV per atom): -1.157
Crystal system: tetragonal
Total magnetic moment (μB/atom): 0.000
Energy of formation (eV/atom): -0.109
Space group: P4/mbm, No. 127

Cell lengths 3.861, 11.900, 11.900 Å; angles 90.00, 90.00, 90.00 degrees
Fractional coordinates of all 20 atoms:
Na: 0.000 0.156 0.656
Na: 0.000 0.844 0.344
Na: 0.000 0.656 0.844
Na: 0.000 0.344 0.156
Mg: 0.000 0.000 0.000
Mg: 0.000 0.500 0.500
Tl: 0.000 0.654 0.154
Tl: 0.000 0.346 0.846
Tl: 0.000 0.154 0.346
Tl: 0.000 0.846 0.654
Hg: 0.500 0.194 0.000
Hg: 0.500 0.806 0.000
Hg: 0.500 0.000 0.806
Hg: 0.500 0.694 0.500
Hg: 0.500 0.000 0.194
Hg: 0.500 0.306 0.500
Hg: 0.500 0.500 0.694
Hg: 0.500 0.500 0.306
Hg: 0.500 0.500 0.000
Hg: 0.500 0.000 0.500

---

# 20
Here is crystalline NaMg2ZnHg4 at its relaxed geometry from Alexandria. Energies are from GGA-PBE.

VASP energy (eV per atom): -0.995
Crystal system: trigonal
Total magnetic moment (μB/atom): 0.000
Energy of formation (eV/atom): -0.122
Space group: R-3m, No. 166

Cell lengths 4.900, 4.900, 8.924 Å; angles 74.07, 74.07, 60.00 degrees
Fractional coordinates of all 8 atoms:
Na: 0.000 0.000 0.000
Mg: 0.753 0.753 0.741
Mg: 0.247 0.247 0.259
Zn: 0.500 0.500 0.500
Hg: 0.381 0.381 0.858
Hg: 0.875 0.875 0.376
Hg: 0.125 0.125 0.624
Hg: 0.619 0.619 0.142

---

# 21
Here is crystalline NaMgZnHg at its relaxed geometry from Alexandria. Energies are from GGA-PBE.

VASP energy (eV per atom): -1.204
Crystal system: cubic
Total magnetic moment (μB/atom): 0.000
Energy of formation (eV/atom): -0.082
Space group: F-43m, No. 216

Cell lengths 4.973, 4.973, 4.973 Å; angles 60.00, 60.00, 60.00 degrees
Fractional coordinates of all 4 atoms:
Mg: 0.250 0.250 0.250
Na: 0.750 0.750 0.750
Zn: 0.000 0.000 0.000
Hg: 0.500 0.500 0.500

---

# 22
Here is crystalline NaMg2ZnHg at its relaxed geometry from Alexandria. Energies are from GGA-PBE.

VASP energy (eV per atom): -1.067
Crystal system: tetragonal
Total magnetic moment (μB/atom): 0.000
Energy of formation (eV/atom): 0.150
Space group: P4/mmm, No. 123

Cell lengths 5.096, 5.455, 5.096 Å; angles 90.00, 90.00, 90.00 degrees
Fractional coordinates of all 5 atoms:
Mg: 0.000 0.000 0.500
Mg: 0.500 0.000 0.000
Na: 0.000 0.500 0.000
Zn: 0.000 0.000 0.000
Hg: 0.500 0.500 0.500

---

# 23
Here is crystalline NaMg2ZrHg at its relaxed geometry from Alexandria. Energies are from GGA-PBE.

VASP energy (eV per atom): -2.051
Crystal system: tetragonal
Total magnetic moment (μB/atom): 0.482
Energy of formation (eV/atom): 0.620
Space group: P4/mmm, No. 123

Cell lengths 5.197, 5.253, 5.197 Å; angles 90.00, 90.00, 90.00 degrees
Fractional coordinates of all 5 atoms:
Na: 0.000 0.500 0.000
Mg: 0.000 0.000 0.500
Mg: 0.500 0.000 0.000
Hg: 0.000 0.000 0.000
Zr: 0.500 0.500 0.500

---

# 24
Here is crystalline MgNb3Hg at its relaxed geometry from Alexandria. Energies are from GGA-PBE.

Energy above the lowest structure with this stoichiometry (meV per atom): 0
VASP energy (eV per atom): -4.859
Crystal system: cubic
Total magnetic moment (μB/atom): 0.000
Energy of formation (eV/atom): 1.562
Space group: Pm-3m, No. 221

Cell lengths 4.761, 4.761, 4.761 Å; angles 90.00, 90.00, 90.00 degrees
Fractional coordinates of all 5 atoms:
Mg: 0.000 0.000 0.000
Nb: 0.000 0.500 0.000
Nb: 0.000 0.000 0.500
Nb: 0.500 0.000 0.000
Hg: 0.500 0.500 0.500

---

# 25
Here is crystalline Mg3NbHg at its relaxed geometry from Alexandria. Energies are from GGA-PBE.

Energy above the lowest structure with this stoichiometry (meV per atom): 0
VASP energy (eV per atom): -2.215
Crystal system: cubic
Total magnetic moment (μB/atom): 0.730
Energy of formation (eV/atom): 0.816
Space group: Pm-3m, No. 221

Cell lengths 5.117, 5.117, 5.117 Å; angles 90.00, 90.00, 90.00 degrees
Fractional coordinates of all 5 atoms:
Mg: 0.000 0.500 0.000
Mg: 0.000 0.000 0.500
Mg: 0.500 0.000 0.000
Nb: 0.500 0.500 0.500
Hg: 0.000 0.000 0.000